[1]
VASP calculation (PBE) on an optimized crystal structure of Ag5Te2I2.

```
Ag5Te2I2
1.0
-3.076 1.603 3.241
-2.372 -7.047 1.232
7.896 1.209 3.410
Ag I Te
5 2 2
direct
0.931 0.580 0.859 Ag
0.069 0.420 0.141 Ag
0.697 0.978 0.395 Ag
0.000 0.000 0.000 Ag
0.303 0.022 0.605 Ag
0.363 0.682 0.725 I
0.637 0.318 0.275 I
0.884 0.184 0.767 Te
0.116 0.816 0.233 Te
```

Calculated values
VASP energy = -24.56 eV per cell
relative energy among the computed polymorphs = 0.000 eV per atom
space-group type = P-1 (2)
energy relative to the elements, uncorrected = -102 meV/atom


[2]
VASP calculation (PBE) on an optimized crystal structure of Ag3TeI.

```
Ag3TeI
1.0
-2.972 -5.778 -0.576
5.580 -1.975 -8.966
3.901 -2.801 7.970
Ag Te I
12 4 4
direct
0.415 0.984 0.852 Ag
0.085 0.984 0.352 Ag
0.915 0.016 0.648 Ag
0.447 0.302 0.023 Ag
0.585 0.016 0.148 Ag
0.161 0.147 0.165 Ag
0.947 0.698 0.477 Ag
0.553 0.698 0.977 Ag
0.661 0.853 0.335 Ag
0.339 0.147 0.665 Ag
0.839 0.853 0.835 Ag
0.053 0.302 0.523 Ag
0.202 0.859 0.031 Te
0.798 0.141 0.969 Te
0.298 0.859 0.531 Te
0.702 0.141 0.469 Te
0.758 0.575 0.156 I
0.742 0.575 0.656 I
0.242 0.425 0.844 I
0.258 0.425 0.344 I
```

Calculated values
VASP energy = -55.09 eV per cell
relative energy among the computed polymorphs = 0.000 eV per atom
space-group type = P2_1/c (14)
energy relative to the elements, uncorrected = -105 meV/atom


[3]
VASP calculation (PBE) on an optimized crystal structure of AgTe2I6.

```
AgTe2I6
1.0
-0.423 -7.768 3.230
11.240 -4.523 1.747
2.569 0.199 11.966
I Te Ag
12 4 2
direct
0.953 0.172 0.921 I
0.485 0.767 0.767 I
0.985 0.767 0.767 I
0.547 0.079 0.828 I
0.453 0.921 0.172 I
0.130 0.148 0.586 I
0.515 0.233 0.233 I
0.370 0.414 0.852 I
0.015 0.233 0.233 I
0.047 0.828 0.079 I
0.630 0.586 0.148 I
0.870 0.852 0.414 I
0.227 0.630 0.922 Te
0.773 0.370 0.078 Te
0.273 0.078 0.370 Te
0.727 0.922 0.630 Te
0.250 0.000 0.000 Ag
0.750 0.000 0.000 Ag
```

Calculated values
VASP energy = -38.00 eV per cell
relative energy among the computed polymorphs = 0.000 eV per atom
space-group type = C2/c (15)
energy relative to the elements, uncorrected = -63 meV/atom


[4]
VASP calculation (PBE) on an optimized crystal structure of AgTeI.

```
AgTeI
1.0
4.035 0.000 -0.923
-0.403 3.733 -1.761
0.827 1.662 12.899
Te Ag I
2 2 2
direct
0.266 0.781 0.532 Te
0.734 0.219 0.468 Te
0.615 0.987 0.230 Ag
0.385 0.013 0.770 Ag
0.912 0.565 0.823 I
0.088 0.435 0.177 I
```

Calculated values
VASP energy = -15.55 eV per cell
space-group type = C2/m (12)
energy relative to the elements, uncorrected = -78 meV/atom


[5]
VASP calculation (PBE) on an optimized crystal structure of AgTeI.

```
AgTeI
1.0
4.606 0.004 0.000
-1.535 6.557 -0.001
-1.345 -2.331 6.730
Te Ag I
2 2 2
direct
0.703 0.570 0.400 Te
0.297 0.430 0.600 Te
0.150 0.836 0.755 Ag
0.850 0.164 0.245 Ag
0.767 0.145 0.828 I
0.233 0.855 0.172 I
```

Calculated values
VASP energy = -15.62 eV per cell
space-group type = P-1 (2)
energy relative to the elements, uncorrected = -89 meV/atom


[6]
VASP calculation (PBE) on an optimized crystal structure of Ag4TeI.

```
Ag4TeI
1.0
-0.636 -5.740 -4.390
5.492 -0.009 -4.851
2.060 -0.912 6.845
Ag I Te
8 2 2
direct
0.930 0.398 0.608 Ag
0.070 0.602 0.392 Ag
0.660 0.697 0.018 Ag
0.947 0.301 0.971 Ag
0.204 0.993 0.504 Ag
0.053 0.699 0.029 Ag
0.340 0.303 0.982 Ag
0.796 0.007 0.496 Ag
0.446 0.305 0.609 I
0.554 0.695 0.391 I
0.203 0.879 0.846 Te
0.797 0.121 0.154 Te
```

Calculated values
VASP energy = -32.22 eV per cell
space-group type = P-1 (2)
energy relative to the elements, uncorrected = -2 meV/atom


[7]
VASP calculation (PBE) on an optimized crystal structure of Ag2TeI5.

```
Ag2TeI5
1.0
-5.129 -3.566 2.569
1.720 -7.359 1.463
0.051 -0.478 7.682
Ag I Te
2 5 1
direct
0.660 0.615 0.980 Ag
0.660 0.980 0.615 Ag
0.705 0.316 0.316 I
0.029 0.724 0.352 I
0.029 0.352 0.724 I
0.553 0.009 0.009 I
0.334 0.750 0.750 I
0.029 0.032 0.032 Te
```

Calculated values
VASP energy = -17.55 eV per cell
space-group type = Cm (8)
energy relative to the elements, uncorrected = -120 meV/atom


[8]
VASP calculation (PBE) on an optimized crystal structure of AgTe6I2.

```
AgTe6I2
1.0
-1.950 -3.961 -1.694
0.249 3.793 -7.785
7.437 -3.945 2.050
Ag Te I
1 6 2
direct
0.000 0.000 0.000 Ag
0.842 0.712 0.712 Te
0.158 0.288 0.288 Te
0.850 0.522 0.212 Te
0.150 0.478 0.788 Te
0.150 0.788 0.477 Te
0.850 0.212 0.523 Te
0.500 0.152 0.848 I
0.500 0.848 0.152 I
```

Calculated values
VASP energy = -24.90 eV per cell
space-group type = C2/m (12)
energy relative to the elements, uncorrected = -11 meV/atom


[9]
VASP calculation (PBE) on an optimized crystal structure of AgTe2I.

```
AgTe2I
1.0
5.673 0.000 0.000
0.000 7.968 -2.193
0.000 -0.264 8.260
Te Ag I
4 2 2
direct
0.825 0.787 0.953 Te
0.675 0.047 0.213 Te
0.325 0.213 0.047 Te
0.175 0.953 0.787 Te
0.000 0.324 0.324 Ag
0.500 0.676 0.676 Ag
0.750 0.364 0.636 I
0.250 0.636 0.364 I
```

Calculated values
VASP energy = -21.66 eV per cell
space-group type = C222_1 (20)
energy relative to the elements, uncorrected = -37 meV/atom


[10]
VASP calculation (PBE) on an optimized crystal structure of Ag2TeI4.

```
Ag2TeI4
1.0
6.887 0.283 -1.998
-3.823 5.736 -1.998
-0.144 -0.283 7.170
I Ag Te
4 2 1
direct
0.186 0.664 0.850 I
0.664 0.814 0.477 I
0.336 0.186 0.523 I
0.814 0.336 0.150 I
0.750 0.250 0.500 Ag
0.250 0.750 0.500 Ag
0.500 0.500 0.000 Te
```

Calculated values
VASP energy = -16.11 eV per cell
relative energy among the computed polymorphs = 0.000 eV per atom
space-group type = I4/m (87)
energy relative to the elements, uncorrected = -153 meV/atom


[11]
VASP calculation (PBE) on an optimized crystal structure of Ag3TeI.

```
Ag3TeI
1.0
-2.583 3.606 3.065
-4.381 -0.501 -3.102
-1.789 -3.977 3.170
Te Ag I
1 3 1
direct
0.000 0.000 0.000 Te
0.500 0.000 0.000 Ag
0.000 0.500 0.000 Ag
0.000 0.000 0.500 Ag
0.500 0.500 0.500 I
```

Calculated values
VASP energy = -12.85 eV per cell
relative energy among the computed polymorphs = 0.184 eV per atom
space-group type = Pm-3m (221)
energy relative to the elements, uncorrected = 79 meV/atom


[12]
VASP calculation (PBE) on an optimized crystal structure of Ag2Te3I.

```
Ag2Te3I
1.0
-1.678 -2.326 -6.002
-4.701 -3.055 3.581
-4.994 7.665 -0.993
Te Ag I
6 4 2
direct
0.303 0.393 0.516 Te
0.697 0.607 0.484 Te
0.712 0.288 0.250 Te
0.393 0.303 0.016 Te
0.288 0.712 0.750 Te
0.607 0.697 0.984 Te
0.876 0.580 0.783 Ag
0.420 0.124 0.717 Ag
0.580 0.876 0.283 Ag
0.124 0.420 0.217 Ag
0.859 0.141 0.750 I
0.141 0.859 0.250 I
```

Calculated values
VASP energy = -33.07 eV per cell
space-group type = C2/c (15)
energy relative to the elements, uncorrected = 24 meV/atom


Q: The highest energy relative to the elements, uncorrected belongs to which entry?
A: number 11